Computed, not measured: crystalline YZrAs at its relaxed geometry at the GGA-PBE level of DFT.

```
YZrAs
1.0
7.395 -1.954 0.000
7.395 1.954 0.000
-0.088 0.000 10.051
Y Zr As
4 4 4
Direct
0.050 0.050 0.366 Y
0.404 0.404 0.145 Y
0.596 0.596 0.855 Y
0.950 0.950 0.634 Y
0.190 0.190 0.078 Zr
0.242 0.242 0.654 Zr
0.758 0.758 0.346 Zr
0.810 0.810 0.922 Zr
0.375 0.375 0.442 As
0.405 0.405 0.818 As
0.595 0.595 0.182 As
0.625 0.625 0.558 As
```

## Properties
Space group: C2/m
Total DFT energy (no corrections), eV per atom: -7.32
D(E_F), states/eV/atom: 0.67